No. 1
{
  "formula": "FeRh2",
  "functional": "PBE",
  "state": "relaxed",
  "density_g_cm3": 10.38,
  "sg": "P-3m1",
  "dos_ef_per_ev_fu": 4.15,
  "e_form_ev_per_atom": 0.170,
  "cell": [[4.2896, 0.0000, 0.0000], [-2.1448, 3.7149, 0.0000], [0.0000, 0.0000, 5.2514]],
  "species": ["Fe", "Fe", "Rh", "Rh", "Rh", "Rh"],
  "frac_coords": [[0.3333, 0.6667, 0.4476], [0.6667, 0.3333, 0.5524], [0.0000, 0.0000, 0.2522], [0.0000, 0.0000, 0.7478], [0.3333, 0.6667, 0.9509], [0.6667, 0.3333, 0.0491]]
}

---

No. 2
{
  "formula": "Fe5Rh",
  "functional": "PBE",
  "state": "relaxed",
  "density_g_cm3": 8.58,
  "sg": "C2/m",
  "dos_ef_per_ev_fu": 3.59,
  "e_form_ev_per_atom": -0.011,
  "cell": [[8.7172, 0.0000, 0.0000], [0.0000, 4.1033, 0.0000], [-2.8888, 0.0000, 4.1358]],
  "species": ["Fe", "Fe", "Fe", "Fe", "Fe", "Fe", "Fe", "Fe", "Fe", "Fe", "Rh", "Rh"],
  "frac_coords": [[0.0000, 0.0000, 0.0000], [0.1633, 0.5000, 0.3308], [0.1706, 0.5000, 0.8411], [0.3294, 0.0000, 0.1589], [0.3367, 0.0000, 0.6692], [0.5000, 0.5000, 0.0000], [0.6633, 0.0000, 0.3308], [0.6706, 0.0000, 0.8411], [0.8294, 0.5000, 0.1589], [0.8367, 0.5000, 0.6692], [0.0000, 0.0000, 0.5000], [0.5000, 0.5000, 0.5000]]
}

---

No. 3
{
  "formula": "Fe3Rh",
  "functional": "PBE",
  "state": "relaxed",
  "density_g_cm3": 8.80,
  "sg": "Fm-3m",
  "dos_ef_per_ev_fu": 1.31,
  "e_form_ev_per_atom": -0.024,
  "cell": [[5.8887, 0.0000, 0.0000], [0.0000, 5.8887, 0.0000], [0.0000, 0.0000, 5.8887]],
  "species": ["Fe", "Fe", "Fe", "Fe", "Fe", "Fe", "Fe", "Fe", "Fe", "Fe", "Fe", "Fe", "Rh", "Rh", "Rh", "Rh"],
  "frac_coords": [[0.0000, 0.0000, 0.0000], [0.0000, 0.5000, 0.5000], [0.2500, 0.2500, 0.2500], [0.2500, 0.2500, 0.7500], [0.2500, 0.7500, 0.2500], [0.2500, 0.7500, 0.7500], [0.5000, 0.0000, 0.5000], [0.5000, 0.5000, 0.0000], [0.7500, 0.2500, 0.2500], [0.7500, 0.2500, 0.7500], [0.7500, 0.7500, 0.2500], [0.7500, 0.7500, 0.7500], [0.0000, 0.0000, 0.5000], [0.0000, 0.5000, 0.0000], [0.5000, 0.0000, 0.0000], [0.5000, 0.5000, 0.5000]]
}

---

No. 4
{
  "formula": "FeRh",
  "functional": "PBE",
  "state": "relaxed",
  "density_g_cm3": 9.96,
  "sg": "P-3m1",
  "dos_ef_per_ev_fu": 2.47,
  "e_form_ev_per_atom": 0.047,
  "cell": [[2.6920, 0.0000, 0.0000], [-1.3460, 2.3313, 0.0000], [0.0000, 0.0000, 12.6462]],
  "species": ["Fe", "Fe", "Fe", "Rh", "Rh", "Rh"],
  "frac_coords": [[0.0000, 0.0000, 0.0000], [0.3333, 0.6667, 0.8435], [0.6667, 0.3333, 0.1565], [0.0000, 0.0000, 0.5000], [0.3333, 0.6667, 0.3206], [0.6667, 0.3333, 0.6794]]
}